[1]
First-principles (meta-GGA SCAN) data for a PBEsol-optimized structure of SiRuBr, as listed in Alexandria.

Unit cell a=4.1855 b=4.1855 c=4.1855 alpha=60.00 beta=60.00 gamma=60.00
Last column: nearest neighbours and their distance in Å.
Sites, in units of the cell vectors:
Si (0.0000, 0.0000, 0.0000)  4 Ru 2.56
Ru (0.2500, 0.2500, 0.2500)  4 Br 2.56, 4 Si 2.56
Br (0.5000, 0.5000, 0.5000)  4 Ru 2.56

Calculated values
Theoretical density, Mg/m³: 6.7
M_tot, Bohr magnetons per cell: 0.000
Electronic total energy, eV per atom: -21.00
Energy relative to the lowest polymorph listed for this composition, eV per atom: 0.249
DOS at the Fermi energy, states/eV/cell: 1.50

***

[2]
First-principles (meta-GGA SCAN) data for a PBEsol-optimized structure of CaMg3, as listed in Alexandria.

Unit cell a=6.1511 b=10.5105 c=6.5579 alpha=90.00 beta=90.00 gamma=90.00
Last column: nearest neighbours and their distance in Å.
Sites, in units of the cell vectors:
Ca (0.0435, 0.2500, 0.0788)  10 Mg 3.17-3.48
Ca (0.4565, 0.7500, 0.5788)  10 Mg 3.17-3.48
Ca (0.5435, 0.2500, 0.4212)  10 Mg 3.17-3.48
Ca (0.9565, 0.7500, 0.9212)  10 Mg 3.17-3.48
Mg (0.0605, 0.2500, 0.5895)  6 Mg 3.06-3.33, 4 Ca 3.17-3.37
Mg (0.2019, 0.5074, 0.3297)  8 Mg 3.06-3.34, 2 Ca 3.31-3.41
Mg (0.2019, 0.9926, 0.3297)  8 Mg 3.06-3.34, 2 Ca 3.31-3.41
Mg (0.2981, 0.0074, 0.8297)  8 Mg 3.06-3.34, 2 Ca 3.31-3.41
Mg (0.2981, 0.4926, 0.8297)  8 Mg 3.06-3.34, 2 Ca 3.31-3.41
Mg (0.4395, 0.7500, 0.0895)  6 Mg 3.06-3.33, 4 Ca 3.17-3.37
Mg (0.5605, 0.2500, 0.9105)  6 Mg 3.06-3.33, 4 Ca 3.17-3.37
Mg (0.7019, 0.5074, 0.1703)  8 Mg 3.06-3.34, 2 Ca 3.31-3.41
Mg (0.7019, 0.9926, 0.1703)  8 Mg 3.06-3.34, 2 Ca 3.31-3.41
Mg (0.7981, 0.0074, 0.6703)  8 Mg 3.06-3.34, 2 Ca 3.31-3.41
Mg (0.7981, 0.4926, 0.6703)  8 Mg 3.06-3.34, 2 Ca 3.31-3.41
Mg (0.9395, 0.7500, 0.4105)  6 Mg 3.06-3.33, 4 Ca 3.17-3.37

Calculated values
Theoretical density, Mg/m³: 1.8
M_tot, Bohr magnetons per cell: 0.286
Electronic total energy, eV per atom: -6.15
DOS at the Fermi energy, states/eV/cell: 8.26